No. 1
RbScC: relaxed, PBE.

Lattice parameters (Å, degrees): 4.510 4.092 10.944 90.00 90.33 90.00
Space group P2_1/m (No. 11)
One atom of each set of equivalent atoms:
Rb 0.245 0.250 0.214 [2 per cell]
Sc 0.250 0.250 0.526 [2 per cell]
C 0.249 0.750 0.434 [2 per cell]

## Properties
ΔE_f	0.57	eV/f.u.
E_tot	-5.32	eV per atom
Fermi-level density of states	0.623	states/eV/atom
magnetization	0.0	μB per cell

***

No. 2
BaSrP2Pd4: relaxed, PBE.

Lattice parameters (Å, degrees): 4.264 4.264 10.401 90.00 90.00 90.00
Space group P4/mmm (No. 123)
One atom of each set of equivalent atoms:
Ba 0.000 0.000 0.000 [1 per cell]
Sr 0.000 0.000 0.500 [1 per cell]
P 0.500 0.500 0.184 [2 per cell]
Pd 0.000 0.500 0.274 [4 per cell]

## Properties
ΔE_f	-5.62	eV/f.u.
E_tot	-5.10	eV per atom
Fermi-level density of states	0.439	states/eV/atom
magnetization	0.0	μB per cell

***

For each record above, in turn, the calculated theoretical density values are 2.3; 6.3 Mg/m³.